Compound: Ba2LaAu
Source: Alexandria
Functional: GGA-PBE
Structure: optimized geometry

Results
* DOS(E_F): 1.26 states/eV/atom
* VASP energy: -39.55 eV per cell
* DFT formation energy: -27.3 kJ/mol of atoms
* polymorph energy (0 for the lowest one): 3.76 kJ per mole of atoms

a b c (Å): 4.5213 4.5213 32.3545
angles (deg): 90.00 90.00 120.00
Space group R3m (No. 160, hexagonal axes)
Asymmetric unit:
Ba 0.0000 0.0000 0.0000 (multiplicity 3)
Ba 0.0000 0.0000 0.2125 (multiplicity 3)
La 0.0000 0.0000 0.7696 (multiplicity 3)
Au 0.0000 0.0000 0.4830 (multiplicity 3)

Compound: La4Nd7Th
Source: Alexandria
Functional: GGA-PBE
Structure: optimized geometry

Results
* DOS(E_F): 1.53 states/eV/atom
* VASP energy: -115.20 eV per cell
* DFT formation energy: 23.4 kJ/mol of atoms
* polymorph energy (0 for the lowest one): 21.60 kJ per mole of atoms

a b c (Å): 12.3128 6.1878 13.0939
angles (deg): 90.00 117.18 90.00
Space group C2/m (No. 12)
Asymmetric unit:
La 0.0594 0.0000 0.3288 (multiplicity 4)
La 0.1377 0.5000 0.7775 (multiplicity 4)
Nd 0.0000 0.0000 0.0000 (multiplicity 2)
Nd 0.1341 0.5000 0.5030 (multiplicity 4)
Nd 0.2110 0.0000 0.9235 (multiplicity 4)
Nd 0.2474 0.5000 0.3138 (multiplicity 4)
Th 0.0000 0.5000 0.0000 (multiplicity 2)

Compound: LiMg6Ag2
Source: Alexandria
Functional: GGA-PBE
Structure: optimized geometry

Results
* DOS(E_F): 0.44 states/eV/atom
* VASP energy: -33.54 eV per cell
* DFT formation energy: 4.4 kJ/mol of atoms
* polymorph energy (0 for the lowest one): 17.47 kJ per mole of atoms

a b c (Å): 14.7226 6.5931 4.6009
angles (deg): 90.00 107.14 90.00
Space group C2/m (No. 12)
Asymmetric unit:
Li 0.0000 0.0000 0.0000 (multiplicity 2)
Mg 0.0000 0.2592 0.5000 (multiplicity 4)
Mg 0.1695 0.2516 0.1713 (multiplicity 8)
Ag 0.1663 0.5000 0.6683 (multiplicity 4)

Compound: NiPtRhW
Source: Alexandria
Functional: GGA-PBE
Structure: optimized geometry

Results
* DOS(E_F): 0.95 states/eV/atom
* VASP energy: -128.66 eV per cell
* DFT formation energy: -0.9 kJ/mol of atoms
* polymorph energy (0 for the lowest one): 24.40 kJ per mole of atoms

a b c (Å): 6.1348 6.1348 6.1348
angles (deg): 90.00 90.00 90.00
Space group F-43m (No. 216)
Asymmetric unit:
Ni 0.0000 0.0000 0.0000 (multiplicity 4)
Pt 0.2500 0.2500 0.7500 (multiplicity 4)
Rh 0.2500 0.2500 0.2500 (multiplicity 4)
W 0.0000 0.0000 0.5000 (multiplicity 4)

Compound: Li2HgPt
Source: Alexandria
Functional: GGA-PBE
Structure: optimized geometry

Results
* DOS(E_F): 0.41 states/eV/atom
* VASP energy: -34.85 eV per cell
* DFT formation energy: -34.9 kJ/mol of atoms

a b c (Å): 2.9493 2.9493 26.4112
angles (deg): 90.00 90.00 120.00
Space group R-3m (No. 166, hexagonal axes)
Asymmetric unit:
Li 0.0000 0.0000 0.2421 (multiplicity 6)
Hg 0.0000 0.0000 0.0000 (multiplicity 3)
Pt 0.0000 0.0000 0.5000 (multiplicity 3)

Compound: Y6Pt2S
Source: Alexandria
Functional: GGA-PBE
Structure: optimized geometry

Results
* uncorrected formation energy: -1.042 eV/atom
* DOS(E_F): 1.06 states/eV/atom
* VASP energy: -128.75 eV per cell

a b c (Å): 6.5540 7.2202 11.7418
angles (deg): 90.00 120.98 90.00
Space group P2_1/c (No. 14)
Asymmetric unit:
Y 0.0973 0.1871 0.4323 (multiplicity 4)
Y 0.2509 0.6709 0.4281 (multiplicity 4)
Y 0.3954 0.0388 0.2457 (multiplicity 4)
Pt 0.1803 0.1134 0.7360 (multiplicity 4)
S 0.5000 0.0000 0.5000 (multiplicity 2)

Q: Which formula does entry 4 have?
A: NiPtRhW